No. 1
Re2TeW: relaxed, PBE-GGA.

Lattice parameters (Å, degrees): 5.4089 5.4089 5.4089 146.43 129.89 61.67
Closest atoms and distances in Å follow each position.
Sites, in units of the cell vectors:
1 Re 0.0000 0.0000 0.0000  4 Te 2.78, 2 Re 2.81, 2 W 2.98
2 Re 0.7483 0.2483 0.5000  2 Te 2.69, 4 W 2.78, 2 Re 2.81
3 Te 0.5125 0.5125 0.0000  6 Re 2.69-2.78, 2 W 2.71
4 W 0.2735 0.7735 0.5000  2 Te 2.71, 6 Re 2.78-2.98

The energy relative to the elements, uncorrected comes out at 689.6 meV per atom. The mass density is 17.08 g cm⁻³. As for the space group: No. 44.


No. 2
TcBrCl3: relaxed, PBE-GGA.

Lattice parameters (Å, degrees): 5.2941 5.2941 5.2941 90.00 90.00 90.00
Closest atoms and distances in Å follow each position.
Sites, in units of the cell vectors:
1 Tc 0.0000 0.0000 0.0000  12 Cl 3.74
2 Br 0.5000 0.5000 0.5000  6 Cl 2.65
3 Cl 0.0000 0.5000 0.5000  2 Br 2.65
4 Cl 0.5000 0.0000 0.5000  2 Br 2.65
5 Cl 0.5000 0.5000 0.0000  2 Br 2.65

The energy relative to the elements, uncorrected comes out at 1002.7 meV per atom. The mass density is 3.18 g cm⁻³. As for the space group: No. 221.


No. 3
TbEuLuAl: relaxed, PBE-GGA.

Lattice parameters (Å, degrees): 5.3711 5.3711 5.3711 60.00 60.00 60.00
Closest atoms and distances in Å follow each position.
Sites, in units of the cell vectors:
1 Tb 0.0000 0.0000 0.0000  4 Al 3.29, 4 Eu 3.29
2 Eu 0.2500 0.2500 0.2500  4 Tb 3.29, 4 Lu 3.29
3 Lu 0.5000 0.5000 0.5000  4 Al 3.29, 4 Eu 3.29
4 Al 0.7500 0.7500 0.7500  4 Tb 3.29, 4 Lu 3.29

The value obtained for the formation energy is -10 meV/atom. The mass density is 7.77 g cm⁻³. As for the space group: No. 216.


No. 4
Sr2TbAlS5: relaxed, PBE-GGA.

Lattice parameters (Å, degrees): 9.1130 9.1130 12.4663 90.00 90.00 154.90
Closest atoms and distances in Å follow each position.
Sites, in units of the cell vectors:
1 Sr 0.1149 0.8851 0.5000  7 S 2.99-3.32
2 Sr 0.1250 0.8750 0.1447  6 S 3.02-3.09
3 Sr 0.8750 0.1250 0.6447  6 S 3.02-3.09
4 Sr 0.8851 0.1149 0.0000  7 S 2.99-3.32
5 Tb 0.2072 0.7928 0.8470  6 S 2.65-2.92
6 Tb 0.7928 0.2072 0.3470  6 S 2.65-2.92
7 Al 0.4433 0.5567 0.2471  4 S 2.21-2.34
8 Al 0.5567 0.4433 0.7471  4 S 2.21-2.34
9 S 0.0429 0.9571 0.8458  2 Al 2.34
10 S 0.2939 0.7061 0.4943  2 Tb 2.70
11 S 0.3197 0.6803 0.1920  1 Al 2.30
12 S 0.3552 0.6448 0.8252  1 Tb 2.65
13 S 0.4979 0.5021 0.5911  1 Al 2.21
14 S 0.5021 0.4979 0.0911  1 Al 2.21
15 S 0.6448 0.3552 0.3252  1 Tb 2.65
16 S 0.6803 0.3197 0.6920  1 Al 2.30
17 S 0.7061 0.2939 0.9943  2 Tb 2.70
18 S 0.9571 0.0429 0.3458  2 Al 2.34

The energy relative to the elements, uncorrected comes out at -1857.1 meV per atom. The mass density is 3.94 g cm⁻³. As for the space group: No. 36.


No. 5
PrInH: relaxed, PBE-GGA.

Lattice parameters (Å, degrees): 6.4270 6.4270 6.4270 150.00 150.00 42.94
Closest atoms and distances in Å follow each position.
Sites, in units of the cell vectors:
1 Pr 0.0000 0.0000 0.0000  4 H 2.39
2 In 0.2774 0.2774 0.0000  1 H 3.09, 1 Pr 3.32, 4 In 3.33
3 H 0.5356 0.5356 0.0000  4 Pr 2.39

The electronic total energy comes out at -0.140 hartree per atom. The mass density is 6.44 g cm⁻³. As for the space group: No. 107.


No. 6
CdCo4Pb: relaxed, PBE-GGA.

Lattice parameters (Å, degrees): 5.0170 5.0170 5.0170 60.00 60.00 60.00
Closest atoms and distances in Å follow each position.
Sites, in units of the cell vectors:
1 Cd 0.0000 0.0000 0.0000  12 Co 2.94, 4 Pb 3.07
2 Co 0.1234 0.6255 0.6255  6 Co 2.50-2.52
3 Co 0.6255 0.1234 0.6255  6 Co 2.50-2.52
4 Co 0.6255 0.6255 0.1234  6 Co 2.50-2.52
5 Co 0.6255 0.6255 0.6255  6 Co 2.50-2.52
6 Pb 0.2500 0.2500 0.2500  12 Co 2.94, 4 Cd 3.07

The value obtained for the formation energy is 355 meV/atom. The mass density is 10.33 g cm⁻³. As for the space group: No. 216.